{
  "formula": "KMgVO4",
  "functional": "PBE with a Hubbard U",
  "state": "optimized geometry",
  "lattice_angstrom": [[0.000, 4.220, 4.220], [4.220, 0.000, 4.220], [4.220, 4.220, 0.000]],
  "species": ["K", "Mg", "V", "O", "O", "O", "O"],
  "fractional_positions": [[0.000, 0.000, 0.000], [0.250, 0.250, 0.250], [0.500, 0.500, 0.500], [0.381, 0.381, 0.381], [0.381, 0.381, 0.856], [0.381, 0.856, 0.381], [0.856, 0.381, 0.381]],
  "total_energy_ev_per_atom": -6.45
}